--- w ---
ZrBAsO | PBE-GGA | relaxed

abc: 4.0515 4.0515 6.1774
angles: 90.00 90.00 90.00
Last column: nearest neighbours and their distance in Å.
Atoms (fractional coordinates):
Zr (0.2500, 0.2500, 0.1661)  4 O 2.27
Zr (0.7500, 0.7500, 0.8339)  4 O 2.27
B (0.2500, 0.7500, 0.5000)  4 As 2.16
B (0.7500, 0.2500, 0.5000)  4 As 2.16
As (0.2500, 0.2500, 0.6192)  4 B 2.16
As (0.7500, 0.7500, 0.3808)  4 B 2.16
O (0.2500, 0.7500, 0.0000)  4 Zr 2.27
O (0.7500, 0.2500, 0.0000)  4 Zr 2.27

Output
Size of the total moment: 0.0 μB per cell

--- x ---
ZrBAsO | PBE-GGA | relaxed

abc: 3.6486 3.6486 9.1379
angles: 90.00 90.00 90.00
Last column: nearest neighbours and their distance in Å.
Atoms (fractional coordinates):
Zr (0.2500, 0.7500, 0.0000)  4 Zr 2.58, 4 As 2.73
Zr (0.7500, 0.2500, 0.0000)  4 Zr 2.58, 4 As 2.73
B (0.2500, 0.2500, 0.4429)  4 O 1.90, 1 As 2.02
B (0.7500, 0.7500, 0.5571)  4 O 1.90, 1 As 2.02
As (0.2500, 0.2500, 0.2221)  1 B 2.02
As (0.7500, 0.7500, 0.7779)  1 B 2.02
O (0.2500, 0.7500, 0.5000)  4 B 1.90
O (0.7500, 0.2500, 0.5000)  4 B 1.90

Output
Size of the total moment: 0.1 μB per cell

Stability order, top to bottom: w, x

--- w ---
PrB4As | PBE-GGA | relaxed

abc: 5.4166 5.4166 5.4166
angles: 145.53 123.79 67.63
Last column: nearest neighbours and their distance in Å.
Atoms (fractional coordinates):
Pr (0.0000, 0.0000, 0.0000)  12 B 2.82-2.88, 4 As 3.01
B (0.0525, 0.7352, 0.3173)  3 B 1.77-1.86
B (0.4179, 0.7352, 0.6827)  3 B 1.77-1.86
B (0.5821, 0.2648, 0.3173)  3 B 1.77-1.86
B (0.9475, 0.2648, 0.6827)  3 B 1.77-1.86
As (0.5000, 0.5000, 0.0000)  4 B 2.67

Output
Size of the total moment: 0.0 μB per cell

--- x ---
PrB4As | PBE-GGA | relaxed

abc: 3.1945 3.1945 7.9874
angles: 90.00 90.00 120.00
Last column: nearest neighbours and their distance in Å.
Atoms (fractional coordinates):
Pr (0.0000, 0.0000, 0.0000)  12 B 2.84
B (0.3333, 0.6667, 0.2705)  3 B 1.84
B (0.3333, 0.6667, 0.7295)  3 B 1.84
B (0.6667, 0.3333, 0.2705)  3 B 1.84
B (0.6667, 0.3333, 0.7295)  3 B 1.84
As (0.0000, 0.0000, 0.5000)  12 B 2.60

Output
Size of the total moment: 0.0 μB per cell

Stability order, top to bottom: w, x

--- w ---
PrBAs | PBE-GGA | relaxed

abc: 4.7058 4.7058 4.7058
angles: 60.00 60.00 60.00
Last column: nearest neighbours and their distance in Å.
Atoms (fractional coordinates):
Pr (0.0000, 0.0000, 0.0000)  4 As 2.88, 4 B 2.88
B (0.2500, 0.2500, 0.2500)  4 Pr 2.88
As (0.7500, 0.7500, 0.7500)  4 Pr 2.88

Output
Size of the total moment: 0.0 μB per cell

--- x ---
PrBAs | PBE-GGA | relaxed

abc: 4.4371 4.4371 4.4371
angles: 60.00 60.00 60.00
Last column: nearest neighbours and their distance in Å.
Atoms (fractional coordinates):
Pr (0.0000, 0.0000, 0.0000)  4 B 2.72
B (0.7500, 0.7500, 0.7500)  4 As 2.72, 4 Pr 2.72
As (0.5000, 0.5000, 0.5000)  4 B 2.72

Output
Size of the total moment: 0.0 μB per cell

Stability order, top to bottom: x, w

--- w ---
TaBAs | PBE-GGA | relaxed

abc: 4.1539 4.1539 4.1539
angles: 60.00 60.00 60.00
Last column: nearest neighbours and their distance in Å.
Atoms (fractional coordinates):
Ta (0.0000, 0.0000, 0.0000)  4 As 2.54, 4 B 2.54
B (0.2500, 0.2500, 0.2500)  4 Ta 2.54
As (0.7500, 0.7500, 0.7500)  4 Ta 2.54

Output
Size of the total moment: 0.0 μB per cell

--- x ---
TaBAs | PBE-GGA | relaxed

abc: 3.9701 3.9701 3.9701
angles: 60.00 60.00 60.00
Last column: nearest neighbours and their distance in Å.
Atoms (fractional coordinates):
Ta (0.0000, 0.0000, 0.0000)  4 B 2.43
B (0.7500, 0.7500, 0.7500)  4 Ta 2.43, 4 As 2.43
As (0.5000, 0.5000, 0.5000)  4 B 2.43

Output
Size of the total moment: 0.0 μB per cell

Stability order, top to bottom: x, w

--- w ---
TbB4As | PBE-GGA | relaxed

abc: 5.2231 5.2231 5.2231
angles: 144.60 122.87 69.03
Last column: nearest neighbours and their distance in Å.
Atoms (fractional coordinates):
Tb (0.0000, 0.0000, 0.0000)  12 B 2.70-2.81, 4 As 2.96
B (0.0449, 0.7298, 0.3152)  3 B 1.75-1.85
B (0.4146, 0.7298, 0.6848)  3 B 1.75-1.85
B (0.5854, 0.2702, 0.3152)  3 B 1.75-1.85
B (0.9551, 0.2702, 0.6848)  3 B 1.75-1.85
As (0.5000, 0.5000, 0.0000)  4 B 2.53

Output
Size of the total moment: 0.0 μB per cell

--- x ---
TbB4As | PBE-GGA | relaxed

abc: 3.1781 3.1781 7.6618
angles: 90.00 90.00 120.00
Last column: nearest neighbours and their distance in Å.
Atoms (fractional coordinates):
Tb (0.0000, 0.0000, 0.0000)  12 B 2.69
B (0.3333, 0.6667, 0.2569)  3 B 1.83
B (0.3333, 0.6667, 0.7431)  3 B 1.83
B (0.6667, 0.3333, 0.2569)  3 B 1.83
B (0.6667, 0.3333, 0.7431)  3 B 1.83
As (0.0000, 0.0000, 0.5000)  12 B 2.61

Output
Size of the total moment: 0.0 μB per cell

Stability order, top to bottom: w, x

--- w ---
ThB4As | PBE-GGA | relaxed

abc: 5.4053 5.4053 5.4053
angles: 145.17 124.63 67.10
Last column: nearest neighbours and their distance in Å.
Atoms (fractional coordinates):
Th (0.0000, 0.0000, 0.0000)  12 B 2.79-2.89, 4 As 2.99
B (0.0441, 0.7306, 0.3136)  3 B 1.77-1.87
B (0.4170, 0.7306, 0.6864)  3 B 1.77-1.87
B (0.5830, 0.2694, 0.3136)  3 B 1.77-1.87
B (0.9559, 0.2694, 0.6864)  3 B 1.77-1.87
As (0.5000, 0.5000, 0.0000)  4 B 2.61

Output
Size of the total moment: 0.0 μB per cell

--- x ---
ThB4As | PBE-GGA | relaxed

abc: 3.2033 3.2033 7.9601
angles: 90.00 90.00 120.00
Last column: nearest neighbours and their distance in Å.
Atoms (fractional coordinates):
Th (0.0000, 0.0000, 0.0000)  12 B 2.82
B (0.3333, 0.6667, 0.2677)  3 B 1.85
B (0.3333, 0.6667, 0.7323)  3 B 1.85
B (0.6667, 0.3333, 0.2677)  3 B 1.85
B (0.6667, 0.3333, 0.7323)  3 B 1.85
As (0.0000, 0.0000, 0.5000)  12 B 2.62

Output
Size of the total moment: 0.0 μB per cell

Stability order, top to bottom: w, x